1.
Here is crystalline SrZn2Au5 at its relaxed geometry from the Alexandria database. Energies are from PBE.

* ΔH_f (0 K): -8.012 kcal/mol of atoms
* total magnetic moment: 0.000 μB per atom

Cell lengths 4.164, 7.395, 10.743 Å; angles 90.00, 90.00, 90.00 degrees
Atoms (fractional coordinates):
Sr 0.000 0.000 0.000
Sr 0.500 0.500 0.500
Zn 0.000 0.500 0.245
Zn 0.000 0.500 0.755
Zn 0.500 0.000 0.255
Zn 0.500 0.000 0.745
Au 0.000 0.199 0.360
Au 0.000 0.199 0.640
Au 0.000 0.500 0.000
Au 0.000 0.801 0.360
Au 0.000 0.801 0.640
Au 0.500 0.000 0.500
Au 0.500 0.301 0.140
Au 0.500 0.301 0.860
Au 0.500 0.699 0.140
Au 0.500 0.699 0.860

---

2.
Here is crystalline ZrIn2Hg at its relaxed geometry from the Alexandria database. Energies are from PBE.

* ΔH_f (0 K): 0.067 kcal/mol of atoms
* total magnetic moment: 0.000 μB per atom

Cell lengths 3.384, 5.644, 10.098 Å; angles 90.00, 90.00, 90.00 degrees
Atoms (fractional coordinates):
Zr 0.000 0.000 0.000
Zr 0.500 0.500 0.000
In 0.000 0.500 0.248
In 0.000 0.500 0.752
In 0.500 0.000 0.248
In 0.500 0.000 0.752
Hg 0.000 0.000 0.500
Hg 0.500 0.500 0.500

---

3.
Here is crystalline Tm5Tl2Fe2 at its relaxed geometry from the Alexandria database. Energies are from PBE.

* ΔH_f (0 K): -3.977 kcal/mol of atoms
* total magnetic moment: 0.001 μB per atom

Cell lengths 9.137, 9.137, 7.182 Å; angles 90.00, 90.00, 46.24 degrees
Atoms (fractional coordinates):
Tm 0.000 0.000 0.000
Tm 0.068 0.702 0.680
Tm 0.202 0.568 0.180
Tm 0.298 0.932 0.680
Tm 0.432 0.798 0.180
Tm 0.500 0.500 0.500
Tm 0.568 0.202 0.820
Tm 0.702 0.068 0.320
Tm 0.798 0.432 0.820
Tm 0.932 0.298 0.320
Tl 0.229 0.229 0.000
Tl 0.271 0.271 0.500
Tl 0.729 0.729 0.500
Tl 0.771 0.771 0.000
Fe 0.107 0.893 0.392
Fe 0.393 0.607 0.892
Fe 0.607 0.393 0.108
Fe 0.893 0.107 0.608

---

4.
Here is crystalline TaCrSeBr2 at its relaxed geometry from the Alexandria database. Energies are from PBE.

* total magnetic moment: 0.114 μB per atom
* E_form (uncorrected): 0.72 eV/atom

Cell lengths 4.891, 4.891, 5.110 Å; angles 90.00, 90.00, 90.00 degrees
Atoms (fractional coordinates):
Ta 0.000 0.000 0.000
Cr 0.500 0.500 0.500
Se 0.500 0.500 0.000
Br 0.000 0.500 0.500
Br 0.500 0.000 0.500